Entry 1:
The following is a PBE calculation of CoRe after structural relaxation, from the Alexandria database.

Results
Density of states at the Fermi level: 13.178 states/eV/cell
Energy relative to the elements: 20 meV per atom
Raw total energy: -9.757 eV/atom
Space-group type: Amm2 (38)

Cell and atoms, written as POSCAR:
```
CoRe
1.0
-1.722 1.958 0.083
-2.619 -2.825 12.321
3.254 2.806 1.335
Co Re
6 6
direct
0.500 0.847 0.816 Co
0.500 0.153 0.816 Co
0.500 0.347 0.316 Co
0.500 0.653 0.316 Co
0.500 0.000 0.139 Co
0.500 0.500 0.639 Co
0.000 0.325 0.800 Re
0.000 0.675 0.800 Re
0.000 0.825 0.300 Re
0.000 0.175 0.300 Re
0.000 0.000 0.631 Re
0.000 0.500 0.131 Re
```


Entry 2:
The following is a PBE calculation of KCu2Os after structural relaxation, from the Alexandria database.

Results
Density of states at the Fermi level: 2.087 states/eV/cell
Energy relative to the elements: 620 meV per atom
Distance to the lowest polymorph of the same formula: 0 meV/atom
Raw total energy: -4.510 eV/atom
Space-group type: P2/m (10)

Cell and atoms, written as POSCAR:
```
KCu2Os
1.0
3.988 0.000 0.000
0.000 2.587 0.017
0.000 2.357 7.152
Cu K Os
2 1 1
direct
0.000 0.095 0.917 Cu
0.000 0.405 0.583 Cu
0.500 0.250 0.250 K
0.500 0.750 0.750 Os
```


Entry 3:
The following is a PBE calculation of TiBiOsO2 after structural relaxation, from the Alexandria database.

Results
Density of states at the Fermi level: 3.493 states/eV/cell
Raw total energy: -7.034 eV/atom
Uncorrected formation energy: -2.25 eV per formula unit
Space-group type: P4/mmm (123)

Cell and atoms, written as POSCAR:
```
TiBiOsO2
1.0
3.804 0.000 0.000
0.000 6.652 0.000
0.000 0.000 3.804
Os Bi O Ti
1 1 2 1
direct
0.500 0.500 0.500 Os
0.000 0.500 0.000 Bi
0.000 0.000 0.500 O
0.500 0.000 0.000 O
0.000 0.000 0.000 Ti
```


Entry 4:
The following is a PBE calculation of Tb2CeVN4 after structural relaxation, from the Alexandria database.

Results
Density of states at the Fermi level: 14.045 states/eV/cell
Raw total energy: -8.543 eV/atom
Uncorrected formation energy: -10.73 eV per formula unit
Space-group type: Cmcm (63)

Cell and atoms, written as POSCAR:
```
Tb2CeVN4
1.0
-1.587 -0.989 2.825
5.938 0.128 1.349
-1.012 11.286 3.382
Tb Ce V N
4 2 2 8
direct
0.370 0.740 0.543 Tb
0.630 0.260 0.043 Tb
0.630 0.260 0.457 Tb
0.370 0.740 0.957 Tb
0.088 0.176 0.750 Ce
0.912 0.824 0.250 Ce
0.827 0.653 0.750 V
0.173 0.347 0.250 V
0.267 0.533 0.128 N
0.733 0.467 0.628 N
0.733 0.467 0.872 N
0.267 0.533 0.372 N
0.000 0.000 0.500 N
0.000 0.000 0.000 N
0.426 0.852 0.750 N
0.574 0.148 0.250 N
```


Entry 5:
The following is a PBE calculation of Ce3Sm2ErAs6 after structural relaxation, from the Alexandria database.

Results
Density of states at the Fermi level: 16.420 states/eV/cell
Energy relative to the elements: -1476 meV per atom
Raw total energy: -6.451 eV/atom
Space-group type: C2/m (12)

Cell and atoms, written as POSCAR:
```
Ce3Sm2ErAs6
1.0
-3.740 -3.495 -5.158
1.599 -3.365 6.239
-5.144 4.545 2.358
Ce Sm Er As
3 2 1 6
direct
0.168 0.832 0.500 Ce
0.832 0.168 0.500 Ce
0.500 0.500 0.500 Ce
0.334 0.666 0.000 Sm
0.666 0.334 0.000 Sm
0.000 0.000 0.000 Er
0.917 0.588 0.751 As
0.755 0.755 0.250 As
0.083 0.412 0.249 As
0.588 0.917 0.751 As
0.245 0.245 0.750 As
0.412 0.083 0.249 As
```


Entry 6:
The following is a PBE calculation of La8Ge5P after structural relaxation, from the Alexandria database.

Results
Density of states at the Fermi level: 7.671 states/eV/cell
Energy relative to the elements: -916 meV per atom
Raw total energy: -5.767 eV/atom
Space-group type: I-4 (82)

Cell and atoms, written as POSCAR:
```
La8Ge5P
1.0
-5.875 -3.935 3.878
-1.050 -0.767 -7.959
7.145 -3.108 2.081
La Ge P
8 5 1
direct
0.126 0.744 0.005 La
0.995 0.121 0.739 La
0.761 0.251 0.375 La
0.625 0.385 0.876 La
0.490 0.615 0.239 La
0.618 0.879 0.874 La
0.261 0.256 0.382 La
0.124 0.749 0.510 La
0.000 0.374 0.124 Ge
0.876 0.876 0.250 Ge
0.750 0.626 0.626 Ge
0.500 0.000 0.500 Ge
0.374 0.124 0.000 Ge
0.250 0.500 0.750 P
```


Entry 7:
The following is a PBE calculation of VTe2 after structural relaxation, from the Alexandria database.

Results
Density of states at the Fermi level: 2.670 states/eV/cell
Raw total energy: -5.457 eV/atom
Uncorrected formation energy: -0.97 eV per formula unit
Space-group type: C2/m (12)

Cell and atoms, written as POSCAR:
```
VTe2
1.0
-1.508 1.218 3.039
-5.928 -0.013 -2.939
-4.435 -5.619 2.195
V Te
2 4
direct
0.254 0.712 0.493 V
0.746 0.288 0.507 V
0.891 0.702 0.220 Te
0.109 0.298 0.780 Te
0.642 0.828 0.716 Te
0.358 0.172 0.284 Te
```


Entry 8:
The following is a PBE calculation of Co2PtBr after structural relaxation, from the Alexandria database.

Results
Density of states at the Fermi level: 5.250 states/eV/cell
Distance to the lowest polymorph of the same formula: 146 meV/atom
Raw total energy: -5.035 eV/atom
Uncorrected formation energy: 1.78 eV per formula unit
Space-group type: P4/mmm (123)

Cell and atoms, written as POSCAR:
```
Co2PtBr
1.0
-1.454 -0.892 2.701
2.793 0.130 1.545
-1.088 6.165 1.451
Br Co Pt
1 2 1
direct
0.500 0.500 0.750 Br
0.000 0.000 0.052 Co
0.000 0.000 0.448 Co
0.500 0.500 0.250 Pt
```